Model w:
First-principles (GGA-PBE) data for a relaxed LiCeAs2 crystal, as listed in the Alexandria database.

a b c (Å): 4.6340 4.6340 3.8472
angles (deg): 90.00 90.00 90.00
Fractional coordinates of all 4 atoms:
Li  0.0000  0.0000  0.0000
Ce  0.5000  0.5000  0.0000
As  0.0000  0.5000  0.5000
As  0.5000  0.0000  0.5000

Values from the calculation:
Fermi-level density of states	3.05	states/eV/f.u.
size of the total moment	0.00	μB/f.u.

Model x:
First-principles (GGA-PBE) data for a relaxed LiCeAs2 crystal, as listed in the Alexandria database.

a b c (Å): 6.4492 6.4492 6.4492
angles (deg): 38.17 38.17 38.17
Fractional coordinates of all 4 atoms:
Li  0.0000  0.0000  0.0000
Ce  0.1812  0.1812  0.1812
As  0.6063  0.6063  0.6063
As  0.7533  0.7533  0.7533

Values from the calculation:
Fermi-level density of states	3.11	states/eV/f.u.
size of the total moment	0.33	μB/f.u.

Tell me which of them is the most stable. Sure, it is model w.

Model w:
First-principles (GGA-PBE) data for a relaxed Ce2MgAs crystal, as listed in the Alexandria database.

a b c (Å): 10.8780 10.8780 10.8780
angles (deg): 19.97 19.97 19.97
Fractional coordinates of all 4 atoms:
Ce  0.1088  0.1088  0.1088
Ce  0.8912  0.8912  0.8912
Mg  0.0000  0.0000  0.0000
As  0.5000  0.5000  0.5000

Values from the calculation:
Fermi-level density of states	12.45	states/eV/f.u.
size of the total moment	2.62	μB/f.u.

Model x:
First-principles (GGA-PBE) data for a relaxed Ce2MgAs crystal, as listed in the Alexandria database.

a b c (Å): 3.9291 3.9291 6.6233
angles (deg): 90.00 90.00 90.00
Fractional coordinates of all 4 atoms:
Ce  0.0000  0.0000  0.2064
Ce  0.0000  0.0000  0.7936
Mg  0.5000  0.5000  0.5000
As  0.5000  0.5000  0.0000

Values from the calculation:
Fermi-level density of states	8.12	states/eV/f.u.
size of the total moment	1.97	μB/f.u.

Tell me which of them is the most stable. Sure, it is model x.

Model w:
First-principles (GGA-PBE) data for a relaxed CeAsN crystal, as listed in the Alexandria database.

a b c (Å): 6.2918 6.2918 6.2918
angles (deg): 150.62 150.62 42.03
Fractional coordinates of all 3 atoms:
Ce  0.0000  0.0000  0.0000
As  0.2787  0.2787  0.0000
N  0.5475  0.5475  0.0000

Values from the calculation:
Fermi-level density of states	2.04	states/eV/f.u.
size of the total moment	0.00	μB/f.u.

Model x:
First-principles (GGA-PBE) data for a relaxed CeAsN crystal, as listed in the Alexandria database.

a b c (Å): 4.0642 3.9265 7.4553
angles (deg): 90.00 92.81 90.00
Fractional coordinates of all 6 atoms:
Ce  0.2394  0.2500  0.3510
Ce  0.7606  0.7500  0.6490
As  0.3220  0.2500  0.9441
As  0.6780  0.7500  0.0559
N  0.2505  0.7500  0.5062
N  0.7495  0.2500  0.4938

Values from the calculation:
size of the total moment	0.00	μB/f.u.

Tell me which of them is the most stable. Sure, it is model x.

Model w:
First-principles (GGA-PBE) data for a relaxed NaCeAs2 crystal, as listed in the Alexandria database.

a b c (Å): 6.8030 6.8030 6.8030
angles (deg): 37.46 37.46 37.46
Fractional coordinates of all 4 atoms:
Na  0.0000  0.0000  0.0000
Ce  0.1769  0.1769  0.1769
As  0.5895  0.5895  0.5895
As  0.7609  0.7609  0.7609

Values from the calculation:
Fermi-level density of states	3.48	states/eV/f.u.
size of the total moment	0.00	μB/f.u.

Model x:
First-principles (GGA-PBE) data for a relaxed NaCeAs2 crystal, as listed in the Alexandria database.

a b c (Å): 6.7573 6.7573 6.7573
angles (deg): 38.22 38.22 38.22
Fractional coordinates of all 4 atoms:
Na  0.0000  0.0000  0.0000
Ce  0.5000  0.5000  0.5000
As  0.2406  0.2406  0.2406
As  0.7594  0.7594  0.7594

Values from the calculation:
Fermi-level density of states	5.30	states/eV/f.u.
size of the total moment	0.00	μB/f.u.

Tell me which of them is the most stable. Sure, it is model x.

Model w:
First-principles (GGA-PBE) data for a relaxed CeNdAs2 crystal, as listed in the Alexandria database.

a b c (Å): 4.2267 4.2267 13.9226
angles (deg): 90.00 90.00 120.00
Fractional coordinates of all 8 atoms:
Ce  0.0000  0.0000  0.0000
Ce  0.0000  0.0000  0.5000
Nd  0.3333  0.6667  0.2500
Nd  0.6667  0.3333  0.7500
As  0.3333  0.6667  0.6199
As  0.3333  0.6667  0.8801
As  0.6667  0.3333  0.1199
As  0.6667  0.3333  0.3801

Values from the calculation:
Fermi-level density of states	5.19	states/eV/f.u.
size of the total moment	0.63	μB/f.u.

Model x:
First-principles (GGA-PBE) data for a relaxed CeNdAs2 crystal, as listed in the Alexandria database.

a b c (Å): 7.7208 7.7208 7.7208
angles (deg): 31.35 31.35 31.35
Fractional coordinates of all 4 atoms:
Ce  0.0000  0.0000  0.0000
Nd  0.1720  0.1720  0.1720
As  0.5854  0.5854  0.5854
As  0.7520  0.7520  0.7520

Values from the calculation:
Fermi-level density of states	6.96	states/eV/f.u.
size of the total moment	0.88	μB/f.u.

Tell me which of them is the most stable. Sure, it is model w.

Model w:
First-principles (GGA-PBE) data for a relaxed Ce2NdAs crystal, as listed in the Alexandria database.

a b c (Å): 9.7057 9.7057 9.7057
angles (deg): 23.18 23.18 23.18
Fractional coordinates of all 4 atoms:
Ce  0.0000  0.0000  0.0000
Ce  0.2040  0.2040  0.2040
Nd  0.7684  0.7684  0.7684
As  0.6020  0.6020  0.6020

Values from the calculation:
Fermi-level density of states	9.69	states/eV/f.u.
size of the total moment	1.67	μB/f.u.

Model x:
First-principles (GGA-PBE) data for a relaxed Ce2NdAs crystal, as listed in the Alexandria database.

a b c (Å): 10.3455 10.3455 10.3455
angles (deg): 21.36 21.36 21.36
Fractional coordinates of all 4 atoms:
Ce  0.1064  0.1064  0.1064
Ce  0.8936  0.8936  0.8936
Nd  0.0000  0.0000  0.0000
As  0.5000  0.5000  0.5000

Values from the calculation:
Fermi-level density of states	9.98	states/eV/f.u.
size of the total moment	2.41	μB/f.u.

Tell me which of them is the most stable. Sure, it is model w.

Model w:
First-principles (GGA-PBE) data for a relaxed CeNpAs2 crystal, as listed in the Alexandria database.

a b c (Å): 7.2017 7.2017 7.2017
angles (deg): 33.64 33.64 33.64
Fractional coordinates of all 4 atoms:
Ce  0.0000  0.0000  0.0000
Np  0.5000  0.5000  0.5000
As  0.2474  0.2474  0.2474
As  0.7526  0.7526  0.7526

Values from the calculation:
Fermi-level density of states	13.58	states/eV/f.u.
size of the total moment	4.65	μB/f.u.

Model x:
First-principles (GGA-PBE) data for a relaxed CeNpAs2 crystal, as listed in the Alexandria database.

a b c (Å): 7.5162 7.5162 7.5162
angles (deg): 31.74 31.74 31.74
Fractional coordinates of all 4 atoms:
Ce  0.0000  0.0000  0.0000
Np  0.1708  0.1708  0.1708
As  0.5812  0.5812  0.5812
As  0.7563  0.7563  0.7563

Values from the calculation:
Fermi-level density of states	13.52	states/eV/f.u.
size of the total moment	4.94	μB/f.u.

Tell me which of them is the most stable. Sure, it is model w.

Model w:
First-principles (GGA-PBE) data for a relaxed Ce3As3O crystal, as listed in the Alexandria database.

a b c (Å): 11.7678 4.1831 13.0386
angles (deg): 90.00 90.00 90.00
Fractional coordinates of all 28 atoms:
Ce  0.0250  0.2500  0.1552
Ce  0.1057  0.2500  0.6218
Ce  0.2397  0.2500  0.8819
Ce  0.2603  0.7500  0.3819
Ce  0.3943  0.7500  0.1218
Ce  0.4750  0.7500  0.6552
Ce  0.5250  0.2500  0.3448
Ce  0.6057  0.2500  0.8782
Ce  0.7397  0.2500  0.6181
Ce  0.7603  0.7500  0.1181
Ce  0.8943  0.7500  0.3782
Ce  0.9750  0.7500  0.8448
As  0.0680  0.2500  0.3922
As  0.1462  0.7500  0.0166
As  0.2345  0.7500  0.7208
As  0.2655  0.2500  0.2208
As  0.3538  0.2500  0.5165
As  0.4320  0.7500  0.8922
As  0.5680  0.2500  0.1078
As  0.6462  0.7500  0.4834
As  0.7345  0.7500  0.7792
As  0.7655  0.2500  0.2792
As  0.8538  0.2500  0.9834
As  0.9320  0.7500  0.6078
O  0.0562  0.2500  0.8034
O  0.4438  0.7500  0.3034
O  0.5562  0.2500  0.6966
O  0.9438  0.7500  0.1966

Values from the calculation:
Fermi-level density of states	10.35	states/eV/f.u.
size of the total moment	1.17	μB/f.u.

Model x:
First-principles (GGA-PBE) data for a relaxed Ce3As3O crystal, as listed in the Alexandria database.

a b c (Å): 7.2368 7.2368 7.1478
angles (deg): 93.26 93.26 113.15
Fractional coordinates of all 14 atoms:
Ce  0.1071  0.1071  0.3030
Ce  0.1386  0.4584  0.7713
Ce  0.4584  0.1386  0.7713
Ce  0.5416  0.8614  0.2287
Ce  0.8614  0.5416  0.2287
Ce  0.8929  0.8929  0.6970
As  0.1665  0.8335  0.0000
As  0.2315  0.7685  0.5000
As  0.4124  0.4124  0.1257
As  0.5876  0.5876  0.8743
As  0.7685  0.2315  0.5000
As  0.8335  0.1665  0.0000
O  0.1810  0.1810  0.6422
O  0.8190  0.8190  0.3578

Values from the calculation:
Fermi-level density of states	15.11	states/eV/f.u.
size of the total moment	2.06	μB/f.u.

Tell me which of them is the most stable. Sure, it is model w.

Model w:
First-principles (GGA-PBE) data for a relaxed CePaAs2 crystal, as listed in the Alexandria database.

a b c (Å): 3.5514 3.5514 7.1662
angles (deg): 90.00 90.00 90.00
Fractional coordinates of all 4 atoms:
Ce  0.0000  0.0000  0.0000
Pa  0.0000  0.0000  0.5000
As  0.5000  0.5000  0.2616
As  0.5000  0.5000  0.7384

Values from the calculation:
Fermi-level density of states	8.45	states/eV/f.u.
size of the total moment	1.63	μB/f.u.

Model x:
First-principles (GGA-PBE) data for a relaxed CePaAs2 crystal, as listed in the Alexandria database.

a b c (Å): 7.7002 7.7002 7.7002
angles (deg): 30.17 30.17 30.17
Fractional coordinates of all 4 atoms:
Ce  0.0000  0.0000  0.0000
Pa  0.8266  0.8266  0.8266
As  0.4138  0.4138  0.4138
As  0.5778  0.5778  0.5778

Values from the calculation:
Fermi-level density of states	8.33	states/eV/f.u.
size of the total moment	1.14	μB/f.u.

Model y:
First-principles (GGA-PBE) data for a relaxed CePaAs2 crystal, as listed in the Alexandria database.

a b c (Å): 7.2044 7.2044 7.2044
angles (deg): 33.40 33.40 33.40
Fractional coordinates of all 4 atoms:
Ce  0.0000  0.0000  0.0000
Pa  0.5000  0.5000  0.5000
As  0.2472  0.2472  0.2472
As  0.7528  0.7528  0.7528

Values from the calculation:
Fermi-level density of states	7.25	states/eV/f.u.
size of the total moment	0.51	μB/f.u.

Model z:
First-principles (GGA-PBE) data for a relaxed CePaAs2 crystal, as listed in the Alexandria database.

a b c (Å): 8.9670 8.9670 8.9670
angles (deg): 27.18 27.18 27.18
Fractional coordinates of all 4 atoms:
Ce  0.0000  0.0000  0.0000
Pa  0.5000  0.5000  0.5000
As  0.1101  0.1101  0.1101
As  0.8899  0.8899  0.8899

Values from the calculation:
Fermi-level density of states	10.84	states/eV/f.u.
size of the total moment	1.52	μB/f.u.

Tell me which of them is the most stable. Sure, it is model y.

Model w:
First-principles (GGA-PBE) data for a relaxed CePa2As crystal, as listed in the Alexandria database.

a b c (Å): 4.4285 4.4285 4.6115
angles (deg): 90.00 90.00 90.00
Fractional coordinates of all 4 atoms:
Ce  0.0000  0.0000  0.0000
Pa  0.0000  0.5000  0.5000
Pa  0.5000  0.0000  0.5000
As  0.5000  0.5000  0.0000

Values from the calculation:
Fermi-level density of states	8.95	states/eV/f.u.
size of the total moment	0.00	μB/f.u.

Model x:
First-principles (GGA-PBE) data for a relaxed CePa2As crystal, as listed in the Alexandria database.

a b c (Å): 11.0546 11.0546 11.0546
angles (deg): 16.33 16.33 16.33
Fractional coordinates of all 4 atoms:
Ce  0.0000  0.0000  0.0000
Pa  0.0913  0.0913  0.0913
Pa  0.9087  0.9087  0.9087
As  0.5000  0.5000  0.5000

Values from the calculation:
Fermi-level density of states	8.07	states/eV/f.u.
size of the total moment	0.00	μB/f.u.

Tell me which of them is the most stable. Sure, it is model w.

Model w:
First-principles (GGA-PBE) data for a relaxed CePaAsS crystal, as listed in the Alexandria database.

a b c (Å): 4.9713 4.9713 4.9713
angles (deg): 60.00 60.00 60.00
Fractional coordinates of all 4 atoms:
Ce  0.0000  0.0000  0.0000
Pa  0.5000  0.5000  0.5000
As  0.2500  0.2500  0.2500
S  0.7500  0.7500  0.7500

Values from the calculation:
Fermi-level density of states	10.59	states/eV/f.u.
size of the total moment	2.80	μB/f.u.

Model x:
First-principles (GGA-PBE) data for a relaxed CePaAsS crystal, as listed in the Alexandria database.

a b c (Å): 7.6133 7.6133 7.6133
angles (deg): 29.79 29.79 29.79
Fractional coordinates of all 4 atoms:
Ce  0.0000  0.0000  0.0000
Pa  0.8300  0.8300  0.8300
As  0.4172  0.4172  0.4172
S  0.2440  0.2440  0.2440

Values from the calculation:
Fermi-level density of states	7.82	states/eV/f.u.
size of the total moment	1.38	μB/f.u.

Tell me which of them is the most stable. Sure, it is model x.

Model w:
First-principles (GGA-PBE) data for a relaxed CePaAsSe crystal, as listed in the Alexandria database.

a b c (Å): 5.0683 5.0683 5.0683
angles (deg): 60.00 60.00 60.00
Fractional coordinates of all 4 atoms:
Ce  0.0000  0.0000  0.0000
Pa  0.5000  0.5000  0.5000
As  0.2500  0.2500  0.2500
Se  0.7500  0.7500  0.7500

Values from the calculation:
Fermi-level density of states	10.48	states/eV/f.u.
size of the total moment	3.03	μB/f.u.

Model x:
First-principles (GGA-PBE) data for a relaxed CePaAsSe crystal, as listed in the Alexandria database.

a b c (Å): 7.7275 7.7275 7.7275
angles (deg): 30.10 30.10 30.10
Fractional coordinates of all 4 atoms:
Ce  0.0000  0.0000  0.0000
Pa  0.8225  0.8225  0.8225
As  0.4136  0.4136  0.4136
Se  0.2404  0.2404  0.2404

Values from the calculation:
Fermi-level density of states	8.43	states/eV/f.u.
size of the total moment	1.80	μB/f.u.

Tell me which of them is the most stable. Sure, it is model x.

Model w:
First-principles (GGA-PBE) data for a relaxed CeAs2Pb crystal, as listed in the Alexandria database.

a b c (Å): 11.7230 11.7230 11.7230
angles (deg): 15.74 15.74 15.74
Fractional coordinates of all 4 atoms:
Ce  0.0000  0.0000  0.0000
As  0.0847  0.0847  0.0847
As  0.9153  0.9153  0.9153
Pb  0.5000  0.5000  0.5000

Values from the calculation:
Fermi-level density of states	6.25	states/eV/f.u.
size of the total moment	0.74	μB/f.u.

Model x:
First-principles (GGA-PBE) data for a relaxed CeAs2Pb crystal, as listed in the Alexandria database.

a b c (Å): 4.8908 4.8908 3.9381
angles (deg): 90.00 90.00 90.00
Fractional coordinates of all 4 atoms:
Ce  0.0000  0.0000  0.0000
As  0.0000  0.5000  0.5000
As  0.5000  0.0000  0.5000
Pb  0.5000  0.5000  0.0000

Values from the calculation:
Fermi-level density of states	2.35	states/eV/f.u.
size of the total moment	0.11	μB/f.u.

Tell me which of them is the most stable. Sure, it is model x.